Record 1
Computed, not measured: crystalline LiYCu2 at its relaxed geometry at the PBE-GGA level of DFT.

```
data_LiYCu2
_space_group_name_H-M_alt 'I -4 2 d'
_space_group_IT_number 122
_space_group_name_Hall 'I -4 2bw'
_cell_length_a 7.253
_cell_length_b 7.253
_cell_length_c 5.450
_cell_angle_alpha 90.00
_cell_angle_beta 90.00
_cell_angle_gamma 90.00
loop_
_atom_site_label
_atom_site_type_symbol
_atom_site_fract_x
_atom_site_fract_y
_atom_site_fract_z
Li1 Li 0.000 0.000 0.000
Y1 Y 0.000 0.000 0.500
Cu1 Cu 0.207 0.750 0.125
```

Results
Energy of formation, meV/atom: 159
V, Å³/atom: 17.918

---

Record 2
Computed, not measured: crystalline SiMoRh at its relaxed geometry at the PBE-GGA level of DFT.

```
data_SiMoRh
_space_group_name_H-M_alt 'I 4 m m'
_space_group_IT_number 107
_space_group_name_Hall 'I 4 -2'
_cell_length_a 2.897
_cell_length_b 2.897
_cell_length_c 9.963
_cell_angle_alpha 90.00
_cell_angle_beta 90.00
_cell_angle_gamma 90.00
loop_
_atom_site_label
_atom_site_type_symbol
_atom_site_fract_x
_atom_site_fract_y
_atom_site_fract_z
Si1 Si 0.000 0.000 0.000
Mo1 Mo 0.000 0.000 0.662
Rh1 Rh 0.000 0.000 0.358
```

Results
E, eV per cell: -49.506
V, Å³/atom: 13.934

---

Record 3
Computed, not measured: crystalline BiBPbS4 at its relaxed geometry at the PBE-GGA level of DFT.

```
data_BiBPbS4
_space_group_name_H-M_alt 'P 1 21 1'
_space_group_IT_number 4
_space_group_name_Hall 'P 2yb'
_cell_length_a 6.342
_cell_length_b 6.363
_cell_length_c 9.232
_cell_angle_alpha 90.00
_cell_angle_beta 105.94
_cell_angle_gamma 90.00
loop_
_atom_site_label
_atom_site_type_symbol
_atom_site_fract_x
_atom_site_fract_y
_atom_site_fract_z
Bi1 Bi 0.194 0.000 0.353
B1 B 0.335 0.514 0.301
Pb1 Pb 0.220 0.944 0.932
S1 S 0.078 0.527 0.351
S2 S 0.090 0.523 0.909
S3 S 0.473 0.754 0.269
S4 S 0.480 0.273 0.290
```

Results
E, eV per cell: -67.705
V, Å³/atom: 25.589

---

Record 4
Computed, not measured: crystalline NaNpCu2I8 at its relaxed geometry at the PBE-GGA level of DFT.

```
data_NaNpCu2I8
_space_group_name_H-M_alt 'I -4 m 2'
_space_group_IT_number 119
_space_group_name_Hall 'I -4 -2'
_cell_length_a 10.145
_cell_length_b 10.145
_cell_length_c 9.097
_cell_angle_alpha 90.00
_cell_angle_beta 90.00
_cell_angle_gamma 90.00
loop_
_atom_site_label
_atom_site_type_symbol
_atom_site_fract_x
_atom_site_fract_y
_atom_site_fract_z
Na1 Na 0.000 0.000 0.000
Np1 Np 0.000 0.500 0.750
Cu1 Cu 0.000 0.000 0.500
Cu2 Cu 0.000 0.500 0.250
I1 I 0.000 0.199 0.679
I2 I 0.000 0.320 0.049
```

Results
E, eV per cell: -81.616
V, Å³/atom: 39.015

---

Record 5
Computed, not measured: crystalline ScIrO at its relaxed geometry at the PBE-GGA level of DFT.

```
data_ScIrO
_space_group_name_H-M_alt 'I 4/m m m'
_space_group_IT_number 139
_space_group_name_Hall '-I 4 2'
_cell_length_a 3.645
_cell_length_b 3.645
_cell_length_c 13.716
_cell_angle_alpha 90.00
_cell_angle_beta 90.00
_cell_angle_gamma 90.00
loop_
_atom_site_label
_atom_site_type_symbol
_atom_site_fract_x
_atom_site_fract_y
_atom_site_fract_z
Sc1 Sc 0.000 0.000 0.177
Ir1 Ir 0.000 0.500 0.000
O1 O 0.000 0.500 0.250
```

Results
E, eV per cell: -103.513
V, Å³/atom: 15.190

---

Record 6
Computed, not measured: crystalline Sm2DySnN at its relaxed geometry at the PBE-GGA level of DFT.

```
data_Sm2DySnN
_space_group_name_H-M_alt 'P 4/m m m'
_space_group_IT_number 123
_space_group_name_Hall '-P 4 2'
_cell_length_a 4.940
_cell_length_b 4.940
_cell_length_c 4.790
_cell_angle_alpha 90.00
_cell_angle_beta 90.00
_cell_angle_gamma 90.00
loop_
_atom_site_label
_atom_site_type_symbol
_atom_site_fract_x
_atom_site_fract_y
_atom_site_fract_z
Sm1 Sm 0.000 0.500 0.000
Dy1 Dy 0.000 0.000 0.500
Sn1 Sn 0.500 0.500 0.500
N1 N 0.000 0.000 0.000
```

Results
E, eV per cell: -31.473
V, Å³/atom: 23.383

---

Record 7
Computed, not measured: crystalline AlCoPb2Se at its relaxed geometry at the PBE-GGA level of DFT.

```
data_AlCoPb2Se
_space_group_name_H-M_alt 'P 4/m m m'
_space_group_IT_number 123
_space_group_name_Hall '-P 4 2'
_cell_length_a 5.420
_cell_length_b 5.420
_cell_length_c 4.314
_cell_angle_alpha 90.00
_cell_angle_beta 90.00
_cell_angle_gamma 90.00
loop_
_atom_site_label
_atom_site_type_symbol
_atom_site_fract_x
_atom_site_fract_y
_atom_site_fract_z
Al1 Al 0.000 0.000 0.000
Co1 Co 0.500 0.500 0.500
Pb1 Pb 0.000 0.500 0.500
Se1 Se 0.500 0.500 0.000
```

Results
E, eV per cell: -20.235
V, Å³/atom: 25.350

---

Record 8
Computed, not measured: crystalline Th5Bi2Ru at its relaxed geometry at the PBE-GGA level of DFT.

```
data_Th5Bi2Ru
_space_group_name_H-M_alt 'P n m a'
_space_group_IT_number 62
_space_group_name_Hall '-P 2ac 2n'
_cell_length_a 12.715
_cell_length_b 9.130
_cell_length_c 8.365
_cell_angle_alpha 90.00
_cell_angle_beta 90.00
_cell_angle_gamma 90.00
loop_
_atom_site_label
_atom_site_type_symbol
_atom_site_fract_x
_atom_site_fract_y
_atom_site_fract_z
Th1 Th 0.003 0.250 0.029
Th2 Th 0.060 0.037 0.695
Th3 Th 0.196 0.250 0.360
Th4 Th 0.196 0.750 0.389
Bi1 Bi 0.178 0.512 0.085
Ru1 Ru 0.019 0.750 0.574
```

Results
Energy of formation, meV/atom: -455
V, Å³/atom: 30.345

---

Record 9
Computed, not measured: crystalline Rh2WBr at its relaxed geometry at the PBE-GGA level of DFT.

```
data_Rh2WBr
_space_group_name_H-M_alt 'F m -3 m'
_space_group_IT_number 225
_space_group_name_Hall '-F 4 2 3'
_cell_length_a 6.395
_cell_length_b 6.395
_cell_length_c 6.395
_cell_angle_alpha 90.00
_cell_angle_beta 90.00
_cell_angle_gamma 90.00
loop_
_atom_site_label
_atom_site_type_symbol
_atom_site_fract_x
_atom_site_fract_y
_atom_site_fract_z
Rh1 Rh 0.250 0.250 0.250
W1 W 0.000 0.000 0.000
Br1 Br 0.000 0.000 0.500
```

Results
E, eV per cell: -103.776
V, Å³/atom: 16.347